Ba3ScMn2O6 after structural relaxation, computed with PBE with a Hubbard U.

The structure in extended XYZ format:
```
12
Lattice="6.044 0.000 0.000 -3.022 5.234 0.000 0.000 0.000 6.999" Properties=species:S:1:pos:R:3 pbc="T T T"
O 1.540 4.379 2.213
O 1.482 0.856 4.786
Ba 3.022 1.745 2.549
O -1.540 4.379 2.213
O 4.562 0.856 4.786
Mn 3.022 1.745 5.694
Ba 0.000 0.000 0.000
Ba 0.000 3.490 4.450
O 3.022 3.523 4.786
Sc 0.000 0.000 3.500
Mn 0.000 3.490 1.305
O 0.000 1.711 2.213
```

Output
SG	P-3m1 (164)
total DFT energy (no corrections)	-6.998	eV/atom
DOS at the Fermi energy	0.174	states/eV/atom
total moment	10.76	μB/cell